[1]
# PaCo5P2

An optimized crystal structure of PaCo5P2 (PBE, Alexandria via LeMat-Bulk).

Cell: 3.6030 6.3063 8.8457 Å, 90.00 90.00 90.00°
Space group Immm (No. 71)
One atom of each set of equivalent atoms:
Pa (0.0000, 0.0000, 0.0000) x2
Co (0.0000, 0.1952, 0.3542) x8
Co (0.0000, 0.5000, 0.0000) x2
P (0.0000, 0.5000, 0.2413) x4

- crystal system = orthorhombic
- formation energy (meV/atom) = -683

***

[2]
# YLuZnRh

An optimized crystal structure of YLuZnRh (PBE, Alexandria via LeMat-Bulk).

Cell: 6.9144 6.9144 6.9144 Å, 90.00 90.00 90.00°
Space group F-43m (No. 216)
One atom of each set of equivalent atoms:
Y (0.0000, 0.0000, 0.0000) x4
Lu (0.0000, 0.0000, 0.5000) x4
Zn (0.2500, 0.2500, 0.7500) x4
Rh (0.2500, 0.2500, 0.2500) x4

- crystal system = cubic
- formation energy (meV/atom) = -631

***

[3]
# AgSbF4

An optimized crystal structure of AgSbF4 (PBE, Alexandria via LeMat-Bulk).

Cell: 4.7201 7.0053 6.1155 Å, 90.00 91.99 90.00°
Space group P2_1/m (No. 11)
One atom of each set of equivalent atoms:
Ag (0.1611, 0.2500, 0.4290) x2
Sb (0.4910, 0.7500, 0.1261) x2
F (0.1229, 0.7500, 0.9724) x2
F (0.2611, 0.7500, 0.4119) x2
F (0.4044, 0.0563, 0.1786) x4

- crystal system = monoclinic
- formation energy without anion corrections (meV per atom) = -1880.8

***

[4]
# Pm3Zn4Cd4

An optimized crystal structure of Pm3Zn4Cd4 (PBE, Alexandria via LeMat-Bulk).

Cell: 3.7275 4.6982 14.7636 Å, 80.90 82.76 89.99°
Space group P-1 (No. 2)
One atom of each set of equivalent atoms:
Pm (0.0000, 0.0000, 0.0000) x1
Pm (0.1428, 0.6428, 0.7147) x2
Zn (0.3131, 0.8151, 0.3708) x2
Zn (0.4567, 0.4545, 0.0899) x2
Cd (0.2599, 0.2598, 0.4810) x2
Cd (0.4071, 0.9068, 0.1853) x2

- crystal system = triclinic
- formation energy (meV/atom) = -288

***

no.,total magnetic moment (μB/atom)
1,0.000
2,0.000
3,0.000
4,0.000